{
  "formula": "La2Ti2Ir",
  "functional": "PBE-GGA",
  "state": "optimized geometry",
  "delta_e_f_kj_per_mol_fu": -73.8,
  "final_energy_ev_per_atom": -7.054,
  "cell": [[6.670, 0.000, 0.000], [0.000, 6.670, 0.000], [0.000, 0.000, 5.287]],
  "species": ["La", "La", "La", "La", "Ti", "Ti", "Ti", "Ti", "Ir", "Ir"],
  "frac_coords": [[0.171, 0.329, 0.000], [0.329, 0.829, 0.000], [0.671, 0.171, 0.000], [0.829, 0.671, 0.000], [0.153, 0.653, 0.500], [0.347, 0.153, 0.500], [0.653, 0.847, 0.500], [0.847, 0.347, 0.500], [0.000, 0.000, 0.500], [0.500, 0.500, 0.500]]
}

***

{
  "formula": "TiGa3Ru3",
  "functional": "PBE-GGA",
  "state": "optimized geometry",
  "delta_e_f_kj_per_mol_fu": -308.2,
  "final_energy_ev_per_atom": -6.857,
  "cell": [[4.213, -4.313, 0.000], [4.213, 4.313, 0.000], [0.000, 0.000, 5.976]],
  "species": ["Ti", "Ti", "Ga", "Ga", "Ga", "Ga", "Ga", "Ga", "Ru", "Ru", "Ru", "Ru", "Ru", "Ru"],
  "frac_coords": [[0.244, 0.244, 0.000], [0.756, 0.756, 0.000], [0.250, 0.750, 0.000], [0.254, 0.746, 0.500], [0.264, 0.264, 0.500], [0.736, 0.736, 0.500], [0.746, 0.254, 0.500], [0.750, 0.250, 0.000], [0.000, 0.000, 0.256], [0.000, 0.000, 0.744], [0.000, 0.500, 0.254], [0.000, 0.500, 0.746], [0.500, 0.000, 0.254], [0.500, 0.000, 0.746]]
}

***

{
  "formula": "ZrSc3Sb",
  "functional": "PBE-GGA",
  "state": "optimized geometry",
  "e_form_raw_kj_per_mol_fu": 278,
  "final_energy_ev_per_atom": -5.758,
  "cell": [[5.145, 0.000, 0.000], [0.000, 5.145, 0.000], [0.000, 0.000, 5.145]],
  "species": ["Zr", "Sc", "Sc", "Sc", "Sb"],
  "frac_coords": [[0.000, 0.000, 0.000], [0.000, 0.000, 0.500], [0.000, 0.500, 0.000], [0.500, 0.000, 0.000], [0.500, 0.500, 0.500]]
}

***

{
  "formula": "CoPtIN2",
  "functional": "PBE-GGA",
  "state": "optimized geometry",
  "e_form_raw_kj_per_mol_fu": 604,
  "final_energy_ev_per_atom": -5.018,
  "cell": [[3.642, 0.000, 0.000], [0.000, 3.642, 0.000], [0.000, 0.000, 8.018]],
  "species": ["Co", "Pt", "I", "N", "N"],
  "frac_coords": [[0.000, 0.000, 0.000], [0.500, 0.500, 0.500], [0.000, 0.000, 0.500], [0.000, 0.500, 0.000], [0.500, 0.000, 0.000]]
}

***

{
  "formula": "Na3TlAg2Br6",
  "functional": "PBE-GGA",
  "state": "optimized geometry",
  "e_form_raw_kj_per_mol_fu": -1155,
  "final_energy_ev_per_atom": -2.836,
  "cell": [[10.012, -2.117, 0.000], [10.012, 2.117, 0.000], [-2.115, 0.000, 8.313]],
  "species": ["Na", "Na", "Na", "Tl", "Ag", "Ag", "Br", "Br", "Br", "Br", "Br", "Br"],
  "frac_coords": [[0.000, 0.000, 0.000], [0.329, 0.329, 0.680], [0.671, 0.671, 0.320], [0.000, 0.000, 0.500], [0.312, 0.312, 0.165], [0.688, 0.688, 0.835], [0.165, 0.165, 0.049], [0.177, 0.177, 0.598], [0.478, 0.478, 0.765], [0.522, 0.522, 0.235], [0.823, 0.823, 0.402], [0.835, 0.835, 0.951]]
}

***

{
  "formula": "MnAu2Br",
  "functional": "PBE-GGA",
  "state": "optimized geometry",
  "e_form_raw_kj_per_mol_fu": 74,
  "final_energy_ev_per_atom": -4.158,
  "cell": [[2.724, -5.802, 0.000], [2.724, 5.802, 0.000], [-2.679, 0.000, 2.723]],
  "species": ["Mn", "Au", "Au", "Br"],
  "frac_coords": [[0.000, 0.000, 0.000], [0.000, 0.500, 0.500], [0.500, 0.000, 0.500], [0.500, 0.500, 0.000]]
}